(1)
Computed, not measured: a geometry-optimized PrSmMnHg structure at the PBE level of DFT.

Lattice parameters (Å, degrees): 5.3131 5.3131 5.3131 60.00 60.00 60.00
Last column: nearest neighbours and their distance in Å.
Fractional positions:
Pr: 0.0000 0.0000 0.0000  4 Hg 3.25, 4 Mn 3.25
Sm: 0.5000 0.5000 0.5000  4 Hg 3.25, 4 Mn 3.25
Mn: 0.7500 0.7500 0.7500  4 Pr 3.25, 4 Sm 3.25
Hg: 0.2500 0.2500 0.2500  4 Pr 3.25, 4 Sm 3.25

Properties
Size of the total moment in Bohr magnetons per cell: 3.31
DFT formation energy in eV/f.u.: -0.21
DFT total energy in eV per atom: -4.7946
Calculated volume in Å³/f.u.: 106.1


(2)
Computed, not measured: a geometry-optimized MgCdPb structure at the PBE level of DFT.

Lattice parameters (Å, degrees): 6.8315 4.5694 9.8755 90.00 90.00 90.00
Last column: nearest neighbours and their distance in Å.
Fractional positions:
Mg: 0.1255 0.2500 0.2490  5 Pb 3.22-3.40, 5 Cd 3.24-3.35, 2 Mg 3.42
Mg: 0.3745 0.7500 0.7490  5 Pb 3.22-3.40, 5 Cd 3.24-3.35, 2 Mg 3.42
Mg: 0.6255 0.2500 0.2510  5 Pb 3.22-3.40, 5 Cd 3.24-3.35, 2 Mg 3.42
Mg: 0.8745 0.7500 0.7510  5 Pb 3.22-3.40, 5 Cd 3.24-3.35, 2 Mg 3.42
Cd: 0.1154 0.2500 0.5775  2 Cd 3.17, 5 Pb 3.23-3.51, 5 Mg 3.24-3.35
Cd: 0.3846 0.7500 0.0775  2 Cd 3.17, 5 Pb 3.23-3.51, 5 Mg 3.24-3.35
Cd: 0.6154 0.2500 0.9225  2 Cd 3.17, 5 Pb 3.23-3.51, 5 Mg 3.24-3.35
Cd: 0.8846 0.7500 0.4225  2 Cd 3.17, 5 Pb 3.23-3.51, 5 Mg 3.24-3.35
Pb: 0.1287 0.2500 0.9044  5 Mg 3.22-3.40, 5 Cd 3.23-3.51, 2 Pb 3.45
Pb: 0.3713 0.7500 0.4044  5 Mg 3.22-3.40, 5 Cd 3.23-3.51, 2 Pb 3.45
Pb: 0.6287 0.2500 0.5956  5 Mg 3.22-3.40, 5 Cd 3.23-3.51, 2 Pb 3.45
Pb: 0.8713 0.7500 0.0956  5 Mg 3.22-3.40, 5 Cd 3.23-3.51, 2 Pb 3.45

Properties
Size of the total moment in Bohr magnetons per cell: 0.00
DFT formation energy in eV/f.u.: 0.04
DFT total energy in eV per atom: -2.0597
Calculated volume in Å³/f.u.: 77.1


(3)
Computed, not measured: a geometry-optimized CaSc4Rh structure at the PBE level of DFT.

Lattice parameters (Å, degrees): 5.8815 5.8815 5.8815 60.00 60.00 60.00
Last column: nearest neighbours and their distance in Å.
Fractional positions:
Ca: 0.0000 0.0000 0.0000  12 Sc 3.45, 4 Rh 3.60
Sc: 0.3772 0.3772 0.3772  6 Sc 2.89-2.99
Sc: 0.3772 0.3772 0.8685  6 Sc 2.89-2.99
Sc: 0.3772 0.8685 0.3772  6 Sc 2.89-2.99
Sc: 0.8685 0.3772 0.3772  6 Sc 2.89-2.99
Rh: 0.7500 0.7500 0.7500  12 Sc 3.44, 4 Ca 3.60

Properties
Size of the total moment in Bohr magnetons per cell: 0.07
DFT formation energy in eV/f.u.: 2.01
DFT total energy in eV per atom: -5.4449
Calculated volume in Å³/f.u.: 143.9


Question: DFT formation energy of number 3 (CaSc4Rh)?
Answer: 2.01 eV/f.u.


Question: Which of these has the highest size of the total moment?
Answer: PrSmMnHg